{"formula": "KPr2WO6", "functional": "PBE+U", "state": "optimized geometry", "energy_ev_per_atom": -7.39, "space_group": "P1", "cell": [[-5.905, -0.632, 1.011], [-1.885, -2.896, 4.871], [-2.697, 3.352, 4.727]], "species": ["Pr", "Pr", "O", "O", "O", "O", "O", "O", "K", "W"], "fractional_positions": [[0.533, 0.522, 0.414], [0.009, 0.019, 0.950], [0.169, 0.368, 0.778], [0.251, 0.980, 0.221], [0.367, 0.677, 0.784], [0.686, 0.172, 0.772], [0.559, 0.253, 0.222], [0.968, 0.562, 0.224], [0.794, 0.788, 0.620], [0.325, 0.321, 0.030]]}